! meta-GGA SCAN Na2MgH32S2O24, single point on PBEsol structure; values from VASP
&SYSTEM
  ibrav = 0, nat = 61, ntyp = 5
/
ATOMIC_SPECIES
Na 22.99 Na.upf
Mg 24.30 Mg.upf
H 1.01 H.upf
S 32.06 S.upf
O 16.00 O.upf
ATOMIC_POSITIONS angstrom
Na 2.899 2.643 0.706
Na 8.660 2.899 13.437
Mg 2.552 2.771 7.072
H 2.540 2.656 4.342
H 4.092 3.150 9.440
H 3.474 4.081 3.208
H 1.764 0.337 2.398
H 2.509 0.082 6.623
H 4.550 5.409 4.748
H 4.741 2.633 11.998
H 4.180 1.192 12.290
H 3.026 0.304 8.124
H 6.415 4.615 13.293
H 4.502 5.207 0.606
H 4.894 3.488 5.895
H 4.473 2.833 3.266
H 3.310 0.306 2.037
H 6.150 5.390 4.982
H 4.774 1.872 5.806
H 6.785 3.670 8.337
H 5.409 0.152 9.161
H 8.249 5.236 12.106
H 7.085 2.709 10.877
H 6.664 2.054 8.248
H 7.057 0.335 13.537
H 5.144 0.927 0.850
H 8.533 5.238 6.019
H 7.378 4.350 1.853
H 6.818 2.909 2.145
H 7.009 0.133 9.395
H 9.050 5.460 7.520
H 9.795 5.205 11.745
H 8.085 1.461 10.935
H 7.467 2.392 4.703
H 9.019 2.886 9.801
S 5.757 4.999 10.540
S 5.802 0.544 3.603
O 3.266 5.760 3.604
O 3.199 3.051 9.038
O 2.538 0.745 7.381
O 4.341 2.074 12.710
O 3.537 3.100 3.065
O 2.408 0.449 1.648
O 6.556 5.466 11.703
O 5.518 3.532 10.637
O 5.278 5.031 5.308
O 4.475 2.673 6.300
O 6.641 4.122 14.118
O 6.486 5.284 9.273
O 5.073 0.258 4.870
O 4.918 1.420 0.025
O 7.084 2.869 7.843
O 6.281 0.511 8.835
O 6.041 2.010 3.506
O 5.002 0.076 2.440
O 9.151 5.093 12.495
O 8.022 2.443 11.078
O 7.218 3.468 1.433
O 9.021 4.797 6.762
O 8.360 2.491 5.105
O 8.293 -0.218 10.539
CELL_PARAMETERS angstrom
6.455 0.000 0.000
2.605 5.928 0.000
2.499 -0.386 14.143
! Space group ... P-1
! Fermi-level density of states ... 0.000 states/eV/atom
! E_tot ... -371.14 eV/cell

---

! meta-GGA SCAN Na3Mg5Si8H2O24, single point on PBEsol structure; values from VASP
&SYSTEM
  ibrav = 0, nat = 84, ntyp = 5
/
ATOMIC_SPECIES
Na 22.99 Na.upf
Mg 24.30 Mg.upf
Si 28.09 Si.upf
H 1.01 H.upf
O 16.00 O.upf
ATOMIC_POSITIONS angstrom
Na -0.450 0.389 2.508
Na -0.450 8.664 2.508
Na 0.657 13.579 7.093
Na 2.289 4.526 2.514
Na 3.397 9.442 7.099
Na 3.397 17.717 7.099
Mg -0.468 11.975 2.413
Mg -0.468 15.184 2.413
Mg 0.769 4.526 7.182
Mg 0.777 1.304 7.187
Mg 0.777 7.749 7.187
Mg 2.170 10.357 2.419
Mg 2.170 16.802 2.419
Mg 2.177 13.579 2.425
Mg 3.415 2.922 7.194
Mg 3.415 6.131 7.194
Si -0.127 3.012 4.488
Si -0.127 6.041 4.488
Si -1.039 12.040 9.343
Si -1.039 15.118 9.343
Si 1.368 1.454 0.342
Si 1.368 7.599 0.342
Si 0.438 10.557 5.204
Si 0.438 16.602 5.204
Si 2.508 1.504 4.403
Si 2.508 7.549 4.403
Si 1.578 10.507 9.265
Si 1.578 16.652 9.265
Si 3.986 2.988 0.264
Si 3.986 6.065 0.264
Si 3.074 12.065 5.118
Si 3.074 15.094 5.118
H -0.961 4.526 9.189
H 0.367 13.579 4.387
H 2.579 4.526 5.219
H 3.907 13.579 0.417
O -0.038 2.174 0.899
O -0.038 6.879 0.899
O -0.720 11.691 5.717
O -0.720 15.468 5.717
O -1.147 13.579 8.753
O -1.000 4.526 8.219
O -0.960 1.468 8.333
O -0.960 7.585 8.333
O 0.226 4.526 3.923
O 0.397 13.579 3.418
O 0.450 10.563 3.591
O 0.450 16.596 3.591
O -0.108 2.962 6.099
O -0.108 6.091 6.099
O 0.094 9.176 5.941
O 0.094 17.983 5.941
O 1.308 12.015 1.347
O 1.308 15.143 1.347
O 1.443 0.044 1.109
O 1.443 9.009 1.109
O 1.054 2.092 3.816
O 1.054 6.961 3.816
O 0.378 11.522 8.693
O 0.378 15.637 8.693
O 2.569 2.469 0.914
O 2.569 6.584 0.914
O 1.893 11.145 5.791
O 1.893 16.014 5.791
O 1.503 9.097 8.497
O 1.503 18.062 8.497
O 1.639 2.963 8.260
O 1.639 6.090 8.260
O 2.853 0.123 3.666
O 2.853 8.930 3.666
O 3.055 12.015 3.508
O 3.055 15.144 3.508
O 2.497 1.510 6.016
O 2.497 7.543 6.016
O 2.550 4.526 6.188
O 2.720 13.579 5.684
O 3.907 10.521 1.273
O 3.907 16.638 1.273
O 3.947 13.579 1.387
O 4.093 4.526 0.854
O 3.667 2.638 3.890
O 3.667 6.415 3.890
O 2.985 11.227 8.708
O 2.985 15.932 8.708
CELL_PARAMETERS angstrom
5.285 0.000 0.000
0.000 18.106 0.000
-2.338 0.000 9.607
! Space group ... P2_1/m
! Fermi-level density of states ... 0.139 states/eV/atom
! E_tot ... -783.82 eV/cell

---

! meta-GGA SCAN NaMgZr2H, single point on PBEsol structure; values from VASP
&SYSTEM
  ibrav = 0, nat = 5, ntyp = 4
/
ATOMIC_SPECIES
Na 22.99 Na.upf
Mg 24.30 Mg.upf
Zr 91.22 Zr.upf
H 1.01 H.upf
ATOMIC_POSITIONS angstrom
Na 0.000 0.000 0.000
Mg 2.095 2.095 0.000
Zr 0.000 2.095 2.718
Zr 2.095 0.000 2.718
H 2.095 2.095 2.718
CELL_PARAMETERS angstrom
4.190 0.000 0.000
0.000 4.190 0.000
0.000 0.000 5.435
! Space group ... P4/mmm
! Fermi-level density of states ... 1.058 states/eV/atom
! E_tot ... -72.93 eV/cell

---

For reference, density by record: 1.7 2.9 4.0 Mg/m³.